--- w ---
# CaTaAl2 (PBEsol, optimized geometry)
data_CaTaAl2
_cell_length_a 2.969
_cell_length_b 3.918
_cell_length_c 6.662
_cell_angle_alpha 90.00
_cell_angle_beta 90.00
_cell_angle_gamma 90.00
_space_group_name_H-M_alt 'P 1'
_space_group_IT_number 1
loop_
_space_group_symop_operation_xyz
'x,y,z'
loop_
_atom_site_label
_atom_site_type_symbol
_atom_site_fract_x
_atom_site_fract_y
_atom_site_fract_z
Al1 Al 0.000 0.000 0.295
Al2 Al 0.000 0.000 0.705
Ta1 Ta 0.500 0.500 0.500
Ca1 Ca 0.500 0.500 0.000
# - calculated density (g/cm3) = 5.89
# - V (Å³/f.u.) = 77.5
# - space-group type = Pmmm (47)

--- x ---
# CaTaAl2 (PBEsol, optimized geometry)
data_CaTaAl2
_cell_length_a 2.901
_cell_length_b 4.879
_cell_length_c 6.095
_cell_angle_alpha 95.92
_cell_angle_beta 90.00
_cell_angle_gamma 107.30
_space_group_name_H-M_alt 'P 1'
_space_group_IT_number 1
loop_
_space_group_symop_operation_xyz
'x,y,z'
loop_
_atom_site_label
_atom_site_type_symbol
_atom_site_fract_x
_atom_site_fract_y
_atom_site_fract_z
Al1 Al 0.243 0.486 0.192
Al2 Al 0.757 0.514 0.808
Ta1 Ta 0.500 0.000 0.000
Ca1 Ca 0.000 0.000 0.500
# - calculated density (g/cm3) = 5.58
# - V (Å³/f.u.) = 81.9
# - space-group type = C2/m (12)

Quick one: least stable of them? x

--- w ---
# Ca2AlTl (PBEsol, optimized geometry)
data_Ca2AlTl
_cell_length_a 6.814
_cell_length_b 6.814
_cell_length_c 6.814
_cell_angle_alpha 104.34
_cell_angle_beta 104.34
_cell_angle_gamma 120.32
_space_group_name_H-M_alt 'P 1'
_space_group_IT_number 1
loop_
_space_group_symop_operation_xyz
'x,y,z'
loop_
_atom_site_label
_atom_site_type_symbol
_atom_site_fract_x
_atom_site_fract_y
_atom_site_fract_z
Ca1 Ca 0.379 0.375 0.504
Ca2 Ca 0.625 0.129 0.004
Ca3 Ca 0.125 0.621 0.996
Ca4 Ca 0.871 0.875 0.496
Tl1 Tl 0.250 0.750 0.500
Tl2 Tl 0.000 0.000 0.000
Al1 Al 0.750 0.250 0.500
Al2 Al 0.500 0.500 0.000
# - calculated density (g/cm3) = 4.37
# - V (Å³/f.u.) = 118.4
# - space-group type = I-42d (122)

--- x ---
# Ca2AlTl (PBEsol, optimized geometry)
data_Ca2AlTl
_cell_length_a 3.620
_cell_length_b 3.620
_cell_length_c 10.164
_cell_angle_alpha 79.74
_cell_angle_beta 79.74
_cell_angle_gamma 60.00
_space_group_name_H-M_alt 'P 1'
_space_group_IT_number 1
loop_
_space_group_symop_operation_xyz
'x,y,z'
loop_
_atom_site_label
_atom_site_type_symbol
_atom_site_fract_x
_atom_site_fract_y
_atom_site_fract_z
Al1 Al 0.000 0.000 0.000
Ca1 Ca 0.747 0.747 0.758
Ca2 Ca 0.253 0.253 0.242
Tl1 Tl 0.500 0.500 0.500
# - calculated density (g/cm3) = 4.58
# - V (Å³/f.u.) = 112.9
# - space-group type = R-3m (166)

Quick one: least stable of them? w

--- w ---
# CaAl2W (PBEsol, optimized geometry)
data_CaAl2W
_cell_length_a 2.810
_cell_length_b 5.145
_cell_length_c 5.145
_cell_angle_alpha 109.08
_cell_angle_beta 90.00
_cell_angle_gamma 90.00
_space_group_name_H-M_alt 'P 1'
_space_group_IT_number 1
loop_
_space_group_symop_operation_xyz
'x,y,z'
loop_
_atom_site_label
_atom_site_type_symbol
_atom_site_fract_x
_atom_site_fract_y
_atom_site_fract_z
Al1 Al 0.000 0.000 0.500
Al2 Al 0.000 0.500 0.000
Ca1 Ca 0.500 0.000 0.000
W1 W 0.500 0.500 0.500
# - calculated density (g/cm3) = 6.56
# - V (Å³/f.u.) = 70.3
# - space-group type = Cmmm (65)

--- x ---
# CaAl2W (PBEsol, optimized geometry)
data_CaAl2W
_cell_length_a 2.790
_cell_length_b 4.762
_cell_length_c 5.955
_cell_angle_alpha 95.02
_cell_angle_beta 90.00
_cell_angle_gamma 107.04
_space_group_name_H-M_alt 'P 1'
_space_group_IT_number 1
loop_
_space_group_symop_operation_xyz
'x,y,z'
loop_
_atom_site_label
_atom_site_type_symbol
_atom_site_fract_x
_atom_site_fract_y
_atom_site_fract_z
Ca1 Ca 0.000 0.000 0.500
Al1 Al 0.240 0.480 0.194
Al2 Al 0.760 0.520 0.806
W1 W 0.500 0.000 0.000
# - calculated density (g/cm3) = 6.12
# - V (Å³/f.u.) = 75.3
# - space-group type = C2/m (12)

--- y ---
# CaAl2W (PBEsol, optimized geometry)
data_CaAl2W
_cell_length_a 2.857
_cell_length_b 3.671
_cell_length_c 7.316
_cell_angle_alpha 90.00
_cell_angle_beta 90.00
_cell_angle_gamma 90.00
_space_group_name_H-M_alt 'P 1'
_space_group_IT_number 1
loop_
_space_group_symop_operation_xyz
'x,y,z'
loop_
_atom_site_label
_atom_site_type_symbol
_atom_site_fract_x
_atom_site_fract_y
_atom_site_fract_z
Ca1 Ca 0.000 0.000 0.506
W1 W 0.500 0.500 0.814
Al1 Al 0.000 0.000 0.988
Al2 Al 0.500 0.500 0.192
# - calculated density (g/cm3) = 6.01
# - V (Å³/f.u.) = 76.7
# - space-group type = Pmm2 (25)

Quick one: least stable of them? y

--- w ---
# Al5Cd (PBEsol, optimized geometry)
data_Al5Cd
_cell_length_a 4.695
_cell_length_b 5.078
_cell_length_c 5.078
_cell_angle_alpha 120.00
_cell_angle_beta 90.00
_cell_angle_gamma 90.00
_space_group_name_H-M_alt 'P 1'
_space_group_IT_number 1
loop_
_space_group_symop_operation_xyz
'x,y,z'
loop_
_atom_site_label
_atom_site_type_symbol
_atom_site_fract_x
_atom_site_fract_y
_atom_site_fract_z
Cd1 Cd 0.500 0.000 0.000
Al1 Al 0.500 0.333 0.667
Al2 Al 0.500 0.667 0.333
Al3 Al 0.000 0.000 0.653
Al4 Al 0.000 0.653 0.000
Al5 Al 0.000 0.347 0.347
# - calculated density (g/cm3) = 3.92
# - V (Å³/f.u.) = 104.8
# - space-group type = P-62m (189)

--- x ---
# Al5Cd (PBEsol, optimized geometry)
data_Al5Cd
_cell_length_a 2.897
_cell_length_b 2.897
_cell_length_c 12.249
_cell_angle_alpha 90.00
_cell_angle_beta 90.00
_cell_angle_gamma 90.00
_space_group_name_H-M_alt 'P 1'
_space_group_IT_number 1
loop_
_space_group_symop_operation_xyz
'x,y,z'
loop_
_atom_site_label
_atom_site_type_symbol
_atom_site_fract_x
_atom_site_fract_y
_atom_site_fract_z
Al1 Al 0.000 0.000 0.500
Al2 Al 0.500 0.500 0.342
Al3 Al 0.500 0.500 0.658
Al4 Al 0.000 0.000 0.181
Al5 Al 0.000 0.000 0.819
Cd1 Cd 0.500 0.500 0.000
# - calculated density (g/cm3) = 4.00
# - V (Å³/f.u.) = 102.8
# - space-group type = P4/mmm (123)

Quick one: least stable of them? w

--- w ---
# Al2CdCl (PBEsol, optimized geometry)
data_Al2CdCl
_cell_length_a 2.931
_cell_length_b 5.194
_cell_length_c 5.194
_cell_angle_alpha 90.00
_cell_angle_beta 90.00
_cell_angle_gamma 90.00
_space_group_name_H-M_alt 'P 1'
_space_group_IT_number 1
loop_
_space_group_symop_operation_xyz
'x,y,z'
loop_
_atom_site_label
_atom_site_type_symbol
_atom_site_fract_x
_atom_site_fract_y
_atom_site_fract_z
Cl1 Cl 0.500 0.000 0.000
Cd1 Cd 0.500 0.500 0.500
Al1 Al 0.000 0.500 0.000
Al2 Al 0.000 0.000 0.500
# - calculated density (g/cm3) = 4.24
# - V (Å³/f.u.) = 79.1
# - space-group type = P4/mmm (123)

--- x ---
# Al2CdCl (PBEsol, optimized geometry)
data_Al2CdCl
_cell_length_a 2.996
_cell_length_b 4.801
_cell_length_c 5.548
_cell_angle_alpha 90.00
_cell_angle_beta 90.00
_cell_angle_gamma 90.00
_space_group_name_H-M_alt 'P 1'
_space_group_IT_number 1
loop_
_space_group_symop_operation_xyz
'x,y,z'
loop_
_atom_site_label
_atom_site_type_symbol
_atom_site_fract_x
_atom_site_fract_y
_atom_site_fract_z
Al1 Al 0.000 0.000 0.747
Al2 Al 0.000 0.000 0.253
Cl1 Cl 0.500 0.500 0.500
Cd1 Cd 0.500 0.500 0.000
# - calculated density (g/cm3) = 4.20
# - V (Å³/f.u.) = 79.8
# - space-group type = Pmmm (47)

--- y ---
# Al2CdCl (PBEsol, optimized geometry)
data_Al2CdCl
_cell_length_a 2.992
_cell_length_b 5.009
_cell_length_c 5.204
_cell_angle_alpha 90.00
_cell_angle_beta 90.00
_cell_angle_gamma 90.00
_space_group_name_H-M_alt 'P 1'
_space_group_IT_number 1
loop_
_space_group_symop_operation_xyz
'x,y,z'
loop_
_atom_site_label
_atom_site_type_symbol
_atom_site_fract_x
_atom_site_fract_y
_atom_site_fract_z
Al1 Al 0.000 0.000 0.000
Al2 Al 0.500 0.000 0.500
Cl1 Cl 0.000 0.500 0.500
Cd1 Cd 0.500 0.500 0.000
# - calculated density (g/cm3) = 4.30
# - V (Å³/f.u.) = 78.0
# - space-group type = Pmmm (47)

Quick one: least stable of them? x

--- w ---
# Al2CdCl (PBEsol, optimized geometry)
data_Al2CdCl
_cell_length_a 5.757
_cell_length_b 5.757
_cell_length_c 7.739
_cell_angle_alpha 111.84
_cell_angle_beta 111.84
_cell_angle_gamma 90.00
_space_group_name_H-M_alt 'P 1'
_space_group_IT_number 1
loop_
_space_group_symop_operation_xyz
'x,y,z'
loop_
_atom_site_label
_atom_site_type_symbol
_atom_site_fract_x
_atom_site_fract_y
_atom_site_fract_z
Al1 Al 0.125 0.127 0.750
Al2 Al 0.625 0.623 0.750
Al3 Al 0.873 0.375 0.250
Al4 Al 0.377 0.875 0.250
Cd1 Cd 0.250 0.750 0.500
Cd2 Cd 0.000 0.000 0.000
Cl1 Cl 0.750 0.250 0.500
Cl2 Cl 0.500 0.500 0.000
# - calculated density (g/cm3) = 3.07
# - V (Å³/f.u.) = 109.1
# - space-group type = I-42d (122)

--- x ---
# Al2CdCl (PBEsol, optimized geometry)
data_Al2CdCl
_cell_length_a 4.135
_cell_length_b 4.135
_cell_length_c 5.743
_cell_angle_alpha 111.10
_cell_angle_beta 111.10
_cell_angle_gamma 90.00
_space_group_name_H-M_alt 'P 1'
_space_group_IT_number 1
loop_
_space_group_symop_operation_xyz
'x,y,z'
loop_
_atom_site_label
_atom_site_type_symbol
_atom_site_fract_x
_atom_site_fract_y
_atom_site_fract_z
Al1 Al 0.000 0.000 0.000
Al2 Al 0.750 0.250 0.500
Cl1 Cl 0.250 0.750 0.500
Cd1 Cd 0.500 0.500 0.000
# - calculated density (g/cm3) = 3.97
# - V (Å³/f.u.) = 84.5
# - space-group type = I-4m2 (119)

Quick one: least stable of them? w